Material: Pm8Se4S3O
Method: DFT, PBE-GGA
State: optimized geometry

Cell: 8.0902 8.0902 20.1312 Å, 90.00 90.00 120.00°
Last column: nearest neighbours and their distance in Å.
Space group R-3m (No. 166, hexagonal axes)
Symmetry-distinct sites (fractional):
Pm1 0.0000 0.0000 0.2422 [6 per cell]  3 S 2.79, 3 Se 2.97
Pm2 0.0197 0.5098 0.2386 [18 per cell]  1 O 2.63, 2 S 2.81
Se1 0.0000 0.0000 0.0000 [3 per cell]  6 Pm 3.12
Se2 0.0000 0.5000 0.0000 [9 per cell]  6 Pm 2.97
S1 0.0000 0.5000 0.5000 [9 per cell]  6 Pm 2.79-2.81
O1 0.0000 0.0000 0.5000 [3 per cell]  6 Pm 2.63

Summary:
Raw total energy in eV per atom: -6.31
Crystal system: trigonal
Formation energy (no corrections) in kJ per mole of atoms: -191
M_tot in μB/cell: 0.000

---

Material: HoAgO3
Method: DFT, PBE-GGA
State: optimized geometry

Cell: 3.9125 11.7799 5.8511 Å, 90.00 90.00 90.00°
Last column: nearest neighbours and their distance in Å.
Space group Cmcm (No. 63)
Symmetry-distinct sites (fractional):
Ho1 0.0000 0.1968 0.2500 [4 per cell]  7 O 2.29-2.40
Ag1 0.0000 0.4739 0.2500 [4 per cell]  2 O 1.98
O1 0.0000 0.0024 0.2500 [4 per cell]  2 Ag 1.98
O2 0.0000 0.3363 0.5233 [8 per cell]  1 Ag 2.28, 3 Ho 2.29-2.40

Summary:
Raw total energy in eV per atom: -6.05
Crystal system: orthorhombic
Formation energy (no corrections) in kJ per mole of atoms: -153
M_tot in μB/cell: 0.000

---

Material: LiSc2Pd7
Method: DFT, PBE-GGA
State: optimized geometry

Cell: 7.3014 16.5305 2.9419 Å, 90.00 90.00 90.00°
Last column: nearest neighbours and their distance in Å.
Space group Cmmm (No. 65)
Symmetry-distinct sites (fractional):
Li1 0.0000 0.0000 0.0000 [2 per cell]  8 Pd 2.55
Sc1 0.0000 0.3326 0.5000 [4 per cell]  5 Pd 2.55-2.77
Pd1 0.0000 0.2027 0.0000 [4 per cell]  2 Sc 2.60, 4 Pd 2.76
Pd2 0.0000 0.5000 0.5000 [2 per cell]  6 Pd 2.68-2.94, 2 Sc 2.77
Pd3 0.1970 0.0912 0.5000 [8 per cell]  1 Sc 2.55, 2 Li 2.55, 3 Pd 2.68-2.76

Summary:
Raw total energy in eV per atom: -5.31
Crystal system: orthorhombic
ΔE_f in eV per atom: -0.221
M_tot in μB/cell: 0.000

---

Material: CaBeTlBr2
Method: DFT, PBE-GGA
State: optimized geometry

Cell: 4.7986 4.7986 6.3157 Å, 90.00 90.00 90.00°
Last column: nearest neighbours and their distance in Å.
Space group P4/mmm (No. 123)
Symmetry-distinct sites (fractional):
Ca1 0.0000 0.0000 0.0000 [1 per cell]  2 Be 3.16, 4 Tl 3.39
Be1 0.0000 0.0000 0.5000 [1 per cell]  4 Br 2.40
Tl1 0.5000 0.5000 0.0000 [1 per cell]  4 Ca 3.39
Br1 0.0000 0.5000 0.5000 [2 per cell]  2 Be 2.40

Summary:
Raw total energy in eV per atom: -2.41
Crystal system: tetragonal
Formation energy (no corrections) in kJ per mole of atoms: -12
M_tot in μB/cell: 0.000

---

Material: In2PbBr
Method: DFT, PBE-GGA
State: optimized geometry

Cell: 7.7400 7.7400 7.7400 Å, 90.00 90.00 90.00°
Last column: nearest neighbours and their distance in Å.
Space group F-43m (No. 216)
Symmetry-distinct sites (fractional):
In1 0.0000 0.0000 0.0000 [4 per cell]  4 Br 3.35, 4 In 3.35
In2 0.2500 0.2500 0.2500 [4 per cell]  4 In 3.35, 4 Pb 3.35
Pb1 0.0000 0.0000 0.5000 [4 per cell]  4 In 3.35, 4 Br 3.35
Br1 0.2500 0.2500 0.7500 [4 per cell]  4 Pb 3.35, 4 In 3.35

Summary:
Raw total energy in eV per atom: -2.78
Distance to the lowest polymorph of the same formula in meV/atom: 159
Crystal system: cubic
Formation energy (no corrections) in kJ per mole of atoms: -6
M_tot in μB/cell: 0.000

---

Material: Ta2MnMo
Method: DFT, PBE-GGA
State: optimized geometry

Cell: 2.8351 4.2994 5.2656 Å, 90.00 98.85 90.00°
Last column: nearest neighbours and their distance in Å.
Space group P2/m (No. 10)
Symmetry-distinct sites (fractional):
Ta1 0.2449 0.0000 0.2559 [2 per cell]  2 Mn 2.65, 2 Mo 2.69, 4 Ta 2.75-2.84
Mn1 0.0000 0.5000 0.5000 [1 per cell]  4 Ta 2.65, 2 Mo 2.79, 2 Mn 2.84
Mo1 0.5000 0.5000 0.0000 [1 per cell]  4 Ta 2.69, 2 Mn 2.79, 2 Mo 2.84

Summary:
Raw total energy in eV per atom: -10.92
Crystal system: monoclinic
ΔE_f in eV per atom: 0.004
M_tot in μB/cell: 0.148

---

Material: BaCe2CoS5
Method: DFT, PBE-GGA
State: optimized geometry

Cell: 7.7545 7.7545 13.3800 Å, 90.00 90.00 90.00°
Last column: nearest neighbours and their distance in Å.
Space group I4/mcm (No. 140)
Symmetry-distinct sites (fractional):
Ba1 0.0000 0.0000 0.2500 [4 per cell]  10 S 3.34-3.35
Ce1 0.1629 0.3371 0.0000 [8 per cell]  8 S 2.76-3.00
Co1 0.0000 0.5000 0.2500 [4 per cell]  4 S 2.23
S1 0.0000 0.0000 0.0000 [4 per cell]  4 Ce 2.90
S2 0.1460 0.3540 0.3659 [16 per cell]  1 Co 2.23

Summary:
Raw total energy in eV per atom: -6.30
Crystal system: tetragonal
Formation energy (no corrections) in kJ per mole of atoms: -162
M_tot in μB/cell: 3.958

---

Material: ZrGeAsBr2
Method: DFT, PBE-GGA
State: optimized geometry

Cell: 5.2276 5.2276 5.4129 Å, 90.00 90.00 90.00°
Last column: nearest neighbours and their distance in Å.
Space group P4/mmm (No. 123)
Symmetry-distinct sites (fractional):
Zr1 0.0000 0.0000 0.0000 [1 per cell]  4 Br 2.61, 2 As 2.71
Ge1 0.5000 0.5000 0.5000 [1 per cell]  4 As 3.70, 8 Br 3.76
As1 0.0000 0.0000 0.5000 [1 per cell]  2 Zr 2.71
Br1 0.0000 0.5000 0.0000 [2 per cell]  2 Zr 2.61

Summary:
Raw total energy in eV per atom: -4.31
Distance to the lowest polymorph of the same formula in meV/atom: 0
Crystal system: tetragonal
Formation energy (no corrections) in kJ per mole of atoms: -8
M_tot in μB/cell: 0.778

---

Material: Tl2AsAu2
Method: DFT, PBE-GGA
State: optimized geometry

Cell: 6.9845 6.9845 5.0897 Å, 90.00 90.00 90.00°
Last column: nearest neighbours and their distance in Å.
Space group P4/mbm (No. 127)
Symmetry-distinct sites (fractional):
Tl1 0.1710 0.3290 0.0000 [4 per cell]  6 Au 3.11-3.39, 1 Tl 3.38
As1 0.0000 0.0000 0.5000 [2 per cell]  4 Au 2.67
Au1 0.1485 0.6485 0.5000 [4 per cell]  2 As 2.67, 1 Au 2.93

Summary:
Raw total energy in eV per atom: -3.12
Distance to the lowest polymorph of the same formula in meV/atom: 72
Crystal system: tetragonal
ΔE_f in eV per atom: 0.069
M_tot in μB/cell: 0.000

---

Material: MnTe2Pb
Method: DFT, PBE-GGA
State: optimized geometry

Cell: 6.7853 6.7853 11.2902 Å, 90.00 90.00 90.00°
Last column: nearest neighbours and their distance in Å.
Space group I-42d (No. 122)
Symmetry-distinct sites (fractional):
Mn1 0.0000 0.0000 0.0000 [4 per cell]  4 Te 2.48
Te1 0.1652 0.2500 0.1250 [8 per cell]  2 Mn 2.48
Pb1 0.0000 0.0000 0.5000 [4 per cell]  4 Te 3.17

Summary:
Raw total energy in eV per atom: -4.57
Crystal system: tetragonal
Formation energy (no corrections) in kJ per mole of atoms: 22
M_tot in μB/cell: 0.000

---

Material: CeNp2S6
Method: DFT, PBE-GGA
State: optimized geometry

Cell: 7.2373 7.2373 4.0314 Å, 90.00 90.00 120.00°
Last column: nearest neighbours and their distance in Å.
Space group P-62m (No. 189)
Symmetry-distinct sites (fractional):
Ce1 0.0000 0.0000 0.0000 [1 per cell]  9 S 2.77-2.97
Np1 0.3333 0.6667 0.5000 [2 per cell]  9 S 2.70-2.98
S1 0.0000 0.4099 0.0000 [3 per cell]  1 Ce 2.97, 4 Np 2.98, 6 S 3.11-3.29
S2 0.0000 0.7373 0.5000 [3 per cell]  2 Np 2.70, 2 Ce 2.77

Summary:
Raw total energy in eV per atom: -7.68
Distance to the lowest polymorph of the same formula in meV/atom: 0
Crystal system: hexagonal
Formation energy (no corrections) in kJ per mole of atoms: -134
M_tot in μB/cell: 6.002

---

Material: Tb3Pr12Th
Method: DFT, PBE-GGA
State: optimized geometry

Cell: 5.2043 5.2043 20.7842 Å, 90.00 90.00 90.00°
Last column: nearest neighbours and their distance in Å.
Space group P4/mmm (No. 123)
Symmetry-distinct sites (fractional):
Tb1 0.0000 0.0000 0.0000 [1 per cell]  12 Pr 3.68
Tb2 0.0000 0.0000 0.2497 [2 per cell]  12 Pr 3.67-3.71
Pr1 0.0000 0.5000 0.1253 [4 per cell]  8 Pr 3.65-3.68, 4 Tb 3.67-3.68
Pr2 0.0000 0.5000 0.3768 [4 per cell]  2 Th 3.65, 8 Pr 3.65-3.73, 2 Tb 3.71
Pr3 0.5000 0.5000 0.0000 [1 per cell]  4 Tb 3.68, 8 Pr 3.68
Pr4 0.5000 0.5000 0.2481 [2 per cell]  8 Pr 3.65-3.73, 4 Tb 3.68
Pr5 0.5000 0.5000 0.5000 [1 per cell]  8 Pr 3.65, 4 Th 3.68
Th1 0.0000 0.0000 0.5000 [1 per cell]  12 Pr 3.65-3.68

Summary:
Raw total energy in eV per atom: -4.89
Crystal system: tetragonal
ΔE_f in eV per atom: 0.027
M_tot in μB/cell: 0.000

---

Material: SiHgCl2
Method: DFT, PBE-GGA
State: optimized geometry

Cell: 6.3609 7.6424 3.7750 Å, 90.00 90.00 90.00°
Last column: nearest neighbours and their distance in Å.
Space group Cmmm (No. 65)
Symmetry-distinct sites (fractional):
Si1 0.0000 0.0000 0.0000 [2 per cell]  8 Cl 3.12, 2 Hg 3.18
Hg1 0.0000 0.5000 0.0000 [2 per cell]  8 Cl 3.12, 2 Si 3.18
Cl1 0.2500 0.2500 0.5000 [4 per cell]  4 Si 3.12, 4 Hg 3.12, 2 Cl 3.18

Summary:
Raw total energy in eV per atom: -2.15
Distance to the lowest polymorph of the same formula in meV/atom: 620
Crystal system: orthorhombic
Formation energy (no corrections) in kJ per mole of atoms: 20
M_tot in μB/cell: 0.000

---

Material: RbAgCl3
Method: DFT, PBE-GGA
State: optimized geometry

Cell: 4.2775 9.0648 8.5934 Å, 90.00 94.48 90.00°
Last column: nearest neighbours and their distance in Å.
Space group P2_1/m (No. 11)
Symmetry-distinct sites (fractional):
Rb1 0.0175 0.2500 0.0996 [2 per cell]  9 Cl 3.32-3.61
Ag1 0.4237 0.2500 0.6349 [2 per cell]  4 Cl 2.49-2.54
Cl1 0.0976 0.7500 0.5232 [2 per cell]  2 Ag 2.52-2.54
Cl2 0.4785 0.0666 0.8516 [4 per cell]  1 Ag 2.49

Summary:
Raw total energy in eV per atom: -2.77
Crystal system: monoclinic
Formation energy (no corrections) in kJ per mole of atoms: -87
M_tot in μB/cell: 0.000

---

Material: BaPuSeO2
Method: DFT, PBE-GGA
State: optimized geometry

Cell: 4.3639 4.3639 6.0298 Å, 90.00 90.00 90.00°
Last column: nearest neighbours and their distance in Å.
Space group P4mm (No. 99)
Symmetry-distinct sites (fractional):
Ba1 0.0000 0.0000 0.0000 [1 per cell]  4 O 2.85
Pu1 0.5000 0.5000 0.3593 [1 per cell]  4 O 2.21
Se1 0.5000 0.5000 0.8375 [1 per cell]  2 Pu 2.88-3.15
O1 0.0000 0.5000 0.3038 [2 per cell]  2 Pu 2.21

Summary:
Raw total energy in eV per atom: -8.46
Crystal system: tetragonal
Formation energy (no corrections) in kJ per mole of atoms: -244
M_tot in μB/cell: 4.000

---

Material: LiLa2SmSe4
Method: DFT, PBE-GGA
State: optimized geometry

Cell: 7.2334 4.2337 7.3497 Å, 90.00 109.70 90.00°
Last column: nearest neighbours and their distance in Å.
Space group P2/m (No. 10)
Symmetry-distinct sites (fractional):
Li1 0.0000 0.0000 0.0000 [1 per cell]  6 Se 2.89-2.91
La1 0.5000 0.0000 0.5000 [1 per cell]  6 Se 3.06-3.08
La2 0.5000 0.5000 0.0000 [1 per cell]  6 Se 3.02
Sm1 0.0000 0.5000 0.5000 [1 per cell]  6 Se 2.95
Se1 0.2345 0.5000 0.2407 [2 per cell]  2 Li 2.91, 1 Sm 2.95, 3 La 3.02-3.06
Se2 0.2360 0.0000 0.7521 [2 per cell]  1 Li 2.89, 2 Sm 2.95, 3 La 3.02-3.08

Summary:
Raw total energy in eV per atom: -5.63
Crystal system: monoclinic
Formation energy (no corrections) in kJ per mole of atoms: -176
M_tot in μB/cell: 0.000

---

Material: Na2TlCd2Hg4
Method: DFT, PBE-GGA
State: optimized geometry

Cell: 7.3453 7.3453 10.0419 Å, 90.00 90.00 90.00°
Last column: nearest neighbours and their distance in Å.
Space group I4/mmm (No. 139)
Symmetry-distinct sites (fractional):
Na1 0.0000 0.0000 0.2064 [4 per cell]  1 Tl 2.95, 4 Hg 3.07
Tl1 0.0000 0.0000 0.5000 [2 per cell]  4 Hg 2.93, 2 Na 2.95
Cd1 0.0000 0.5000 0.2500 [4 per cell]  8 Hg 3.63, 4 Na 3.70
Hg1 0.2176 0.2176 0.0000 [8 per cell]  1 Tl 2.93, 2 Na 3.07, 2 Hg 3.20

Summary:
Raw total energy in eV per atom: -0.86
Crystal system: tetragonal
ΔE_f in eV per atom: 0.035
M_tot in μB/cell: 0.000

---

Material: K2LiPb
Method: DFT, PBE-GGA
State: optimized geometry

Cell: 9.3051 5.1636 7.3068 Å, 90.00 113.78 90.00°
Last column: nearest neighbours and their distance in Å.
Space group Cm (No. 8)
Symmetry-distinct sites (fractional):
K1 0.0000 0.0000 0.0000 [2 per cell]  3 Li 3.62-3.74, 3 Pb 3.66-3.72, 3 K 3.89-3.99
K2 0.1987 0.0000 0.6226 [2 per cell]  3 Li 3.67-3.80, 3 Pb 3.68-3.72, 3 K 3.89-3.99
Li1 0.2594 0.5000 0.3045 [2 per cell]  3 Pb 3.02-3.08
Pb1 0.4300 0.0000 0.3095 [2 per cell]  3 Li 3.02-3.08

Summary:
Raw total energy in eV per atom: -2.03
Crystal system: monoclinic
ΔE_f in eV per atom: -0.073
M_tot in μB/cell: 0.000

---

Material: LiSmYTe3
Method: DFT, PBE-GGA
State: optimized geometry

Cell: 8.9597 4.2593 9.5056 Å, 90.00 103.71 90.00°
Last column: nearest neighbours and their distance in Å.
Space group P2_1/m (No. 11)
Symmetry-distinct sites (fractional):
Li1 0.0851 0.2500 0.0857 [2 per cell]  4 Te 2.74-2.77, 2 Li 2.89
Sm1 0.1880 0.2500 0.7325 [2 per cell]  7 Te 3.16-3.29
Y1 0.3329 0.7500 0.3394 [2 per cell]  6 Te 3.05-3.15
Te1 0.0905 0.2500 0.3763 [2 per cell]  1 Li 2.75
Te2 0.2331 0.7500 0.9987 [2 per cell]  3 Li 2.74-2.77
Te3 0.4279 0.7500 0.6757 [2 per cell]  3 Y 3.05-3.11, 2 Sm 3.16

Summary:
Raw total energy in eV per atom: -5.03
Crystal system: monoclinic
Formation energy (no corrections) in kJ per mole of atoms: -123
M_tot in μB/cell: 0.000

---

Material: Tb3Tm6Zr
Method: DFT, PBE-GGA
State: optimized geometry

Cell: 10.9959 4.8941 11.0205 Å, 90.00 90.11 90.00°
Last column: nearest neighbours and their distance in Å.
Space group P2_1/m (No. 11)
Symmetry-distinct sites (fractional):
Tb1 0.0010 0.2500 0.2484 [2 per cell]  10 Tm 3.47-3.60, 2 Tb 3.48
Tb2 0.2022 0.7500 0.3499 [2 per cell]  4 Tb 3.46-3.48, 8 Tm 3.49-3.57
Tb3 0.4006 0.2500 0.4496 [2 per cell]  4 Tb 3.46, 8 Tm 3.48-3.63
Tm1 0.1010 0.2500 0.5527 [2 per cell]  7 Tb 3.47-3.53, 5 Tm 3.50-3.52
Tm2 0.1053 0.7500 0.0480 [2 per cell]  7 Tm 3.43-3.59, 4 Tb 3.47-3.49, 1 Zr 3.50
Tm3 0.2059 0.2500 0.8543 [2 per cell]  8 Tm 3.35-3.59, 2 Zr 3.49, 2 Tb 3.53
Tm4 0.3022 0.7500 0.6582 [2 per cell]  6 Tm 3.43-3.50, 1 Zr 3.47, 5 Tb 3.48-3.57
Tm5 0.3102 0.2500 0.1403 [2 per cell]  3 Zr 3.26-3.37, 5 Tm 3.35-3.48, 4 Tb 3.55-3.60
Tm6 0.4980 0.2500 0.7642 [2 per cell]  3 Zr 3.26-3.37, 5 Tm 3.36-3.46, 4 Tb 3.53-3.63
Zr1 0.4091 0.7500 0.9547 [2 per cell]  10 Tm 3.26-3.50, 2 Zr 3.31

Summary:
Raw total energy in eV per atom: -4.89
Distance to the lowest polymorph of the same formula in meV/atom: 0
Crystal system: monoclinic
ΔE_f in eV per atom: 0.040
M_tot in μB/cell: 0.000